First-principles (PBE+U) data for Ca2AlMoO6 after structural relaxation, as listed in Alexandria via LeMat-Bulk.

Values from the calculation:
Total energy (eV per atom): -7.074
Size of the total moment (μB/f.u.): 1.0
Mass density (g/cm³): 4.4

Lattice parameters (Å, degrees): 5.390 5.450 7.709 90.00 89.64 90.00
Site moments in Bohr magnetons follow the coordinates.
Fractional coordinates of all 20 atoms:
O 0.924 0.519 0.258  0.02
O 0.298 0.719 0.042  0.02
O 0.291 0.713 0.463  -0.02
O 0.798 0.781 0.542  0.02
O 0.709 0.287 0.537  -0.02
O 0.076 0.481 0.742  0.02
O 0.576 0.019 0.242  0.02
O 0.209 0.213 0.037  -0.02
O 0.202 0.219 0.458  0.02
O 0.702 0.281 0.958  0.02
O 0.424 0.981 0.758  0.02
O 0.791 0.787 0.963  -0.02
Ca 0.007 0.960 0.253  0.00
Ca 0.493 0.460 0.247  0.00
Ca 0.507 0.540 0.753  0.00
Ca 0.993 0.040 0.747  0.00
Mo 0.000 0.500 0.000  0.94
Mo 0.500 0.000 0.500  0.94
Al 0.500 0.000 0.000  0.00
Al 0.000 0.500 0.500  0.00